NaZn3Pb after structural relaxation. Source: the Alexandria database, functional GGA-PBE.

POSCAR file:
```
NaZn3Pb
1.0
-5.3816 1.0877 0.1374
-0.2183 -0.3885 -5.4741
-1.0744 -5.3694 0.4239
Pb Zn Na
1 3 1
Direct
0.0000 0.0000 0.0000
0.0000 0.0000 0.5000
0.5000 0.0000 0.0000
0.0000 0.5000 0.0000
0.5000 0.5000 0.5000
```

Results
- ΔE to the lowest computed polymorph (eV per atom) = 0.000
- calculated formation energy (meV/atom) = 439
- E_tot (eV/cell) = -6.656
- SG = Pm-3m (221)